A plane-wave DFT calculation with PBE with a Hubbard U was carried out for Nd2Co2S2O5 after structural relaxation.

Unit cell a=11.800 b=11.800 c=11.800 alpha=161.26 beta=161.26 gamma=26.63
Fractional coordinates of all 11 atoms:
Nd: 0.159 0.159 0.000
Nd: 0.841 0.841 0.000
Co: 0.423 0.423 0.000
Co: 0.577 0.577 0.000
S: 0.292 0.292 0.000
S: 0.708 0.708 0.000
O: 0.097 0.597 0.500
O: 0.403 0.903 0.500
O: 0.500 0.500 0.000
O: 0.597 0.097 0.500
O: 0.903 0.403 0.500

Results
Its total energy is -69.3 eV/cell. The calculation puts the size of the total moment at 6.2 μB/f.u.